Arrangement i

# TcAs2WSe

A geometry-optimized TcAs2WSe structure (PBE-GGA, the Alexandria database).

Results
* total magnetization: 0.7304 μB/atom

abc: 4.9259 4.9259 4.8349
angles: 90.00 90.00 90.00
Space group P4/mmm (No. 123)
One atom of each set of equivalent atoms:
Tc1 0.0000 0.0000 0.0000 x1
As1 0.0000 0.5000 0.5000 x2
W1 0.5000 0.5000 0.5000 x1
Se1 0.5000 0.5000 0.0000 x1


Arrangement ii

# TcAs2WSe

A geometry-optimized TcAs2WSe structure (PBE-GGA, the Alexandria database).

Results
* total magnetization: 0.6770 μB/atom

abc: 4.6601 4.6601 5.1511
angles: 90.00 90.00 90.00
Space group P4/mmm (No. 123)
One atom of each set of equivalent atoms:
Tc1 0.0000 0.0000 0.0000 x1
As1 0.0000 0.5000 0.0000 x2
W1 0.5000 0.5000 0.5000 x1
Se1 0.0000 0.0000 0.5000 x1


What is the least stable structure shown above? It is arrangement ii.